# 1
# TaTcTe2 PBE optimized geometry
# - Magnetic moment: 0.00 μB/cell
# - Crystal system: tetragonal
# - ΔE to the lowest computed polymorph: 716 meV/atom
# - Energy: -6.56 eV per atom
data_TaTcTe2
_space_group_name_H-M_alt 'P 1'
_space_group_IT_number 1
_cell_length_a 5.254
_cell_length_b 5.254
_cell_length_c 5.254
_cell_angle_alpha 131.59
_cell_angle_beta 131.59
_cell_angle_gamma 70.88
loop_
_space_group_symop_operation_xyz
'x,y,z'
loop_
_atom_site_label
_atom_site_type_symbol
_atom_site_fract_x
_atom_site_fract_y
_atom_site_fract_z
Ta1 Ta 0.000 0.000 0.000
Tc1 Tc 0.250 0.750 0.500
Te1 Te 0.500 0.500 0.000
Te2 Te 0.750 0.250 0.500

***

# 2
# Ta2TcTe PBE optimized geometry
# - Magnetic moment: 0.00 μB/cell
# - Crystal system: monoclinic
# - Energy: -9.14 eV per atom
data_Ta2TcTe
_space_group_name_H-M_alt 'P 1'
_space_group_IT_number 1
_cell_length_a 5.176
_cell_length_b 5.176
_cell_length_c 4.731
_cell_angle_alpha 106.47
_cell_angle_beta 106.47
_cell_angle_gamma 37.18
loop_
_space_group_symop_operation_xyz
'x,y,z'
loop_
_atom_site_label
_atom_site_type_symbol
_atom_site_fract_x
_atom_site_fract_y
_atom_site_fract_z
Ta1 Ta 0.000 0.000 0.000
Ta2 Ta 0.230 0.230 0.684
Tc1 Tc 0.506 0.506 0.528
Te1 Te 0.757 0.757 0.209

***

# 3
# TaTcTe PBE optimized geometry
# - Magnetic moment: 0.00 μB/cell
# - Crystal system: trigonal
# - ΔE to the lowest computed polymorph: 256 meV/atom
# - Energy: -8.26 eV per atom
data_TaTcTe
_space_group_name_H-M_alt 'P 1'
_space_group_IT_number 1
_cell_length_a 3.281
_cell_length_b 3.281
_cell_length_c 6.469
_cell_angle_alpha 90.00
_cell_angle_beta 90.00
_cell_angle_gamma 120.00
loop_
_space_group_symop_operation_xyz
'x,y,z'
loop_
_atom_site_label
_atom_site_type_symbol
_atom_site_fract_x
_atom_site_fract_y
_atom_site_fract_z
Ta1 Ta 0.000 0.000 0.000
Tc1 Tc 0.667 0.333 0.262
Te1 Te 0.333 0.667 0.636

***

# 4
# Ta2TcTe PBE optimized geometry
# - Magnetic moment: 0.00 μB/cell
# - Crystal system: monoclinic
# - Energy: -9.14 eV per atom
data_Ta2TcTe
_space_group_name_H-M_alt 'P 1'
_space_group_IT_number 1
_cell_length_a 3.155
_cell_length_b 4.576
_cell_length_c 5.290
_cell_angle_alpha 90.00
_cell_angle_beta 104.86
_cell_angle_gamma 90.00
loop_
_space_group_symop_operation_xyz
'x,y,z'
loop_
_atom_site_label
_atom_site_type_symbol
_atom_site_fract_x
_atom_site_fract_y
_atom_site_fract_z
Ta1 Ta 0.000 0.000 0.000
Ta2 Ta 0.223 0.500 0.720
Tc1 Tc 0.689 0.500 0.190
Te1 Te 0.676 0.000 0.468

***

# 5
# TaTcTe2 PBE optimized geometry
# - Magnetic moment: 0.00 μB/cell
# - Crystal system: monoclinic
# - ΔE to the lowest computed polymorph: 521 meV/atom
# - Energy: -6.75 eV per atom
data_TaTcTe2
_space_group_name_H-M_alt 'P 1'
_space_group_IT_number 1
_cell_length_a 4.616
_cell_length_b 4.616
_cell_length_c 5.724
_cell_angle_alpha 102.50
_cell_angle_beta 102.50
_cell_angle_gamma 41.88
loop_
_space_group_symop_operation_xyz
'x,y,z'
loop_
_atom_site_label
_atom_site_type_symbol
_atom_site_fract_x
_atom_site_fract_y
_atom_site_fract_z
Ta1 Ta 0.000 0.000 0.000
Tc1 Tc 0.500 0.500 0.500
Te1 Te 0.246 0.246 0.745
Te2 Te 0.754 0.754 0.255

***

# 6
# TaTcTe PBE optimized geometry
# - Magnetic moment: 0.00 μB/cell
# - Crystal system: tetragonal
# - ΔE to the lowest computed polymorph: 272 meV/atom
# - Energy: -8.25 eV per atom
data_TaTcTe
_space_group_name_H-M_alt 'P 1'
_space_group_IT_number 1
_cell_length_a 5.931
_cell_length_b 5.931
_cell_length_c 5.931
_cell_angle_alpha 148.51
_cell_angle_beta 148.51
_cell_angle_gamma 45.14
loop_
_space_group_symop_operation_xyz
'x,y,z'
loop_
_atom_site_label
_atom_site_type_symbol
_atom_site_fract_x
_atom_site_fract_y
_atom_site_fract_z
Ta1 Ta 0.000 0.000 0.000
Tc1 Tc 0.631 0.631 0.000
Te1 Te 0.309 0.309 0.000

***

# 7
# Ta2TcTe2 PBE optimized geometry
# - Magnetic moment: 1.24 μB/cell
# - Crystal system: tetragonal
# - ΔE to the lowest computed polymorph: 477 meV/atom
# - Energy: -7.04 eV per atom
data_Ta2TcTe2
_space_group_name_H-M_alt 'P 1'
_space_group_IT_number 1
_cell_length_a 7.361
_cell_length_b 7.361
_cell_length_c 7.361
_cell_angle_alpha 147.92
_cell_angle_beta 147.92
_cell_angle_gamma 46.00
loop_
_space_group_symop_operation_xyz
'x,y,z'
loop_
_atom_site_label
_atom_site_type_symbol
_atom_site_fract_x
_atom_site_fract_y
_atom_site_fract_z
Ta1 Ta 0.094 0.094 0.000
Ta2 Ta 0.906 0.906 0.000
Tc1 Tc 0.500 0.500 0.000
Te1 Te 0.250 0.750 0.500
Te2 Te 0.750 0.250 0.500

***

# 8
# TaTcTe2 PBE optimized geometry
# - Magnetic moment: 0.00 μB/cell
# - Crystal system: orthorhombic
# - ΔE to the lowest computed polymorph: 854 meV/atom
# - Energy: -6.42 eV per atom
data_TaTcTe2
_space_group_name_H-M_alt 'P 1'
_space_group_IT_number 1
_cell_length_a 5.511
_cell_length_b 5.511
_cell_length_c 5.511
_cell_angle_alpha 144.37
_cell_angle_beta 121.75
_cell_angle_gamma 70.18
loop_
_space_group_symop_operation_xyz
'x,y,z'
loop_
_atom_site_label
_atom_site_type_symbol
_atom_site_fract_x
_atom_site_fract_y
_atom_site_fract_z
Ta1 Ta 0.000 0.000 0.000
Tc1 Tc 0.500 0.500 0.000
Te1 Te 0.271 0.771 0.500
Te2 Te 0.729 0.229 0.500

***

# 9
# Ta2TcTe PBE optimized geometry
# - Magnetic moment: 0.00 μB/cell
# - Crystal system: tetragonal
# - Energy: -9.01 eV per atom
data_Ta2TcTe
_space_group_name_H-M_alt 'P 1'
_space_group_IT_number 1
_cell_length_a 4.681
_cell_length_b 4.681
_cell_length_c 3.298
_cell_angle_alpha 90.00
_cell_angle_beta 90.00
_cell_angle_gamma 90.00
loop_
_space_group_symop_operation_xyz
'x,y,z'
loop_
_atom_site_label
_atom_site_type_symbol
_atom_site_fract_x
_atom_site_fract_y
_atom_site_fract_z
Ta1 Ta 0.000 0.500 0.000
Ta2 Ta 0.500 0.000 0.000
Tc1 Tc 0.000 0.000 0.500
Te1 Te 0.500 0.500 0.500

***

# 10
# Ta2TcTe PBE optimized geometry
# - Magnetic moment: 0.00 μB/cell
# - Crystal system: orthorhombic
# - Energy: -9.00 eV per atom
data_Ta2TcTe
_space_group_name_H-M_alt 'P 1'
_space_group_IT_number 1
_cell_length_a 3.016
_cell_length_b 3.016
_cell_length_c 9.101
_cell_angle_alpha 90.00
_cell_angle_beta 90.00
_cell_angle_gamma 112.52
loop_
_space_group_symop_operation_xyz
'x,y,z'
loop_
_atom_site_label
_atom_site_type_symbol
_atom_site_fract_x
_atom_site_fract_y
_atom_site_fract_z
Ta1 Ta 0.000 0.000 0.000
Ta2 Ta 0.500 0.500 0.253
Tc1 Tc 0.500 0.500 0.786
Te1 Te 0.000 0.000 0.508

***

# 11
# TaTcTe2 PBE optimized geometry
# - Magnetic moment: 1.23 μB/cell
# - Crystal system: cubic
# - ΔE to the lowest computed polymorph: 930 meV/atom
# - Energy: -6.34 eV per atom
data_TaTcTe2
_space_group_name_H-M_alt 'P 1'
_space_group_IT_number 1
_cell_length_a 4.883
_cell_length_b 4.883
_cell_length_c 4.883
_cell_angle_alpha 60.00
_cell_angle_beta 60.00
_cell_angle_gamma 60.00
loop_
_space_group_symop_operation_xyz
'x,y,z'
loop_
_atom_site_label
_atom_site_type_symbol
_atom_site_fract_x
_atom_site_fract_y
_atom_site_fract_z
Ta1 Ta 0.000 0.000 0.000
Tc1 Tc 0.750 0.750 0.750
Te1 Te 0.250 0.250 0.250
Te2 Te 0.500 0.500 0.500

***

# 12
# TaTcTe PBE optimized geometry
# - Magnetic moment: 0.00 μB/cell
# - Crystal system: cubic
# - ΔE to the lowest computed polymorph: 532 meV/atom
# - Energy: -7.99 eV per atom
data_TaTcTe
_space_group_name_H-M_alt 'P 1'
_space_group_IT_number 1
_cell_length_a 4.473
_cell_length_b 4.473
_cell_length_c 4.473
_cell_angle_alpha 60.00
_cell_angle_beta 60.00
_cell_angle_gamma 60.00
loop_
_space_group_symop_operation_xyz
'x,y,z'
loop_
_atom_site_label
_atom_site_type_symbol
_atom_site_fract_x
_atom_site_fract_y
_atom_site_fract_z
Ta1 Ta 0.000 0.000 0.000
Tc1 Tc 0.250 0.250 0.250
Te1 Te 0.750 0.750 0.750